[1]
Compound: YTlZn2W
Source: Alexandria via LeMat-Bulk
Functional: PBE-GGA
Structure: optimized geometry

Cell lengths 5.324, 5.324, 5.791 Å; angles 90.00, 90.00, 90.00 degrees
Atoms (fractional coordinates):
Y: 0.000 0.000 0.000
Tl: 0.000 0.000 0.500
Zn: 0.000 0.500 0.000
Zn: 0.500 0.000 0.000
W: 0.500 0.500 0.500

Values from the calculation:
Its formation energy is 1.88 eV per atom. The value obtained for the calculated density is 6.1 g/cm³. Its uncorrected energy is -2.9826 eV/atom.

[2]
Compound: Mg2Si
Source: Alexandria via LeMat-Bulk
Functional: PBE-GGA
Structure: optimized geometry

Cell lengths 5.377, 6.432, 7.694 Å; angles 108.06, 90.11, 98.59 degrees
Atoms (fractional coordinates):
Mg: 0.026 0.161 0.198
Mg: 0.217 0.867 0.418
Mg: 0.305 0.398 0.608
Mg: 0.451 0.749 0.029
Mg: 0.549 0.251 0.971
Mg: 0.695 0.602 0.392
Mg: 0.783 0.133 0.582
Mg: 0.974 0.839 0.802
Si: 0.072 0.334 0.904
Si: 0.473 0.831 0.701
Si: 0.527 0.169 0.299
Si: 0.928 0.666 0.096

Values from the calculation:
The value obtained for the calculated density is 2.0 g/cm³. Its uncorrected energy is -2.8990 eV/atom. The formation energy from raw total energies is -28 meV/atom.

[3]
Compound: Ba6HIr2Br3
Source: Alexandria via LeMat-Bulk
Functional: PBE-GGA
Structure: optimized geometry

Cell lengths 7.734, 7.734, 8.625 Å; angles 98.59, 98.59, 120.00 degrees
Atoms (fractional coordinates):
Ba: 0.093 0.431 0.792
Ba: 0.232 0.232 0.209
Ba: 0.431 0.093 0.792
Ba: 0.569 0.907 0.208
Ba: 0.768 0.768 0.791
Ba: 0.907 0.569 0.208
H: 0.500 0.500 0.000
Ir: 0.166 0.834 0.000
Ir: 0.834 0.166 0.000
Br: 0.000 0.000 0.500
Br: 0.332 0.668 0.500
Br: 0.668 0.332 0.500

Values from the calculation:
The value obtained for the calculated density is 5.6 g/cm³. Its uncorrected energy is -4.0908 eV/atom.

[4]
Compound: Mn3BC
Source: Alexandria via LeMat-Bulk
Functional: PBE-GGA
Structure: optimized geometry

Cell lengths 3.687, 3.687, 3.687 Å; angles 90.00, 90.00, 90.00 degrees
Atoms (fractional coordinates):
Mn: 0.000 0.000 0.500
Mn: 0.000 0.500 0.000
Mn: 0.500 0.000 0.000
B: 0.500 0.500 0.500
C: 0.000 0.000 0.000

Values from the calculation:
As for the offset from the most stable computed form: 0 meV/atom. Its formation energy is 0.38 eV per atom. The value obtained for the calculated density is 6.2 g/cm³. Its uncorrected energy is -8.3063 eV/atom.

[5]
Compound: Pr2ErPuSe5
Source: Alexandria via LeMat-Bulk
Functional: PBE-GGA
Structure: optimized geometry

Cell lengths 5.065, 5.065, 10.923 Å; angles 90.00, 90.00, 90.00 degrees
Atoms (fractional coordinates):
Pr: 0.000 0.000 0.212
Pr: 0.000 0.000 0.788
Er: 0.500 0.500 0.000
Pu: 0.500 0.500 0.500
Se: 0.000 0.000 0.500
Se: 0.000 0.500 0.000
Se: 0.500 0.000 0.000
Se: 0.500 0.500 0.251
Se: 0.500 0.500 0.749

Values from the calculation:
The value obtained for the calculated density is 6.4 g/cm³. Its uncorrected energy is -6.3648 eV/atom. The formation energy from raw total energies is -1267 meV/atom.

[6]
Compound: AcTbZnNi
Source: Alexandria via LeMat-Bulk
Functional: PBE-GGA
Structure: optimized geometry

Cell lengths 5.172, 5.172, 5.172 Å; angles 60.00, 60.00, 60.00 degrees
Atoms (fractional coordinates):
Ac: 0.000 0.000 0.000
Tb: 0.500 0.500 0.500
Zn: 0.250 0.250 0.250
Ni: 0.750 0.750 0.750

Values from the calculation:
Its formation energy is -0.19 eV per atom. The value obtained for the calculated density is 8.7 g/cm³. Its uncorrected energy is -4.1396 eV/atom.

[7]
Compound: Pr3Tm2Pb2
Source: Alexandria via LeMat-Bulk
Functional: PBE-GGA
Structure: optimized geometry

Cell lengths 9.049, 9.049, 7.956 Å; angles 114.37, 114.37, 22.70 degrees
Atoms (fractional coordinates):
Pr: 0.000 0.000 0.000
Pr: 0.223 0.223 0.195
Pr: 0.777 0.777 0.805
Tm: 0.088 0.088 0.699
Tm: 0.912 0.912 0.301
Pb: 0.395 0.395 0.616
Pb: 0.605 0.605 0.384

Values from the calculation:
Its formation energy is -0.17 eV per atom. The value obtained for the calculated density is 8.6 g/cm³. Its uncorrected energy is -4.5587 eV/atom.

[8]
Compound: SrMn2Cr
Source: Alexandria via LeMat-Bulk
Functional: PBE-GGA
Structure: optimized geometry

Cell lengths 5.109, 5.109, 5.109 Å; angles 131.34, 114.64, 85.56 degrees
Atoms (fractional coordinates):
Sr: 0.000 0.000 0.000
Mn: 0.314 0.814 0.500
Mn: 0.686 0.186 0.500
Cr: 0.500 0.500 0.000

Values from the calculation:
As for the offset from the most stable computed form: 255 meV/atom. Its formation energy is 0.69 eV per atom. The value obtained for the calculated density is 4.8 g/cm³. Its uncorrected energy is -6.7227 eV/atom.

[9]
Compound: YInSe2N
Source: Alexandria via LeMat-Bulk
Functional: PBE-GGA
Structure: optimized geometry

Cell lengths 5.331, 5.331, 4.092 Å; angles 90.00, 90.00, 90.00 degrees
Atoms (fractional coordinates):
Y: 0.000 0.000 0.000
In: 0.500 0.500 0.500
Se: 0.000 0.500 0.500
Se: 0.500 0.000 0.500
N: 0.500 0.500 0.000

Values from the calculation:
As for the offset from the most stable computed form: 0 meV/atom. The value obtained for the calculated density is 5.4 g/cm³. Its uncorrected energy is -4.9234 eV/atom. The formation energy from raw total energies is -24 meV/atom.

[10]
Compound: Er6Al43W4
Source: Alexandria via LeMat-Bulk
Functional: PBE-GGA
Structure: optimized geometry

Cell lengths 11.007, 11.007, 17.627 Å; angles 90.00, 90.00, 120.00 degrees
Atoms (fractional coordinates):
Er: 0.000 0.469 0.096
Er: 0.000 0.469 0.404
Er: 0.000 0.531 0.596
Er: 0.000 0.531 0.904
Er: 0.469 0.000 0.096
Er: 0.469 0.000 0.404
Er: 0.469 0.469 0.596
Er: 0.469 0.469 0.904
Er: 0.531 0.000 0.596
Er: 0.531 0.000 0.904
Er: 0.531 0.531 0.096
Er: 0.531 0.531 0.404
Al: 0.000 0.148 0.750
Al: 0.000 0.160 0.114
Al: 0.000 0.160 0.386
Al: 0.000 0.255 0.531
Al: 0.000 0.255 0.969
Al: 0.000 0.745 0.031
Al: 0.000 0.745 0.469
Al: 0.000 0.840 0.614
Al: 0.000 0.840 0.886
Al: 0.000 0.852 0.250
Al: 0.147 0.552 0.250
Al: 0.147 0.595 0.750
Al: 0.148 0.000 0.750
Al: 0.148 0.148 0.250
Al: 0.158 0.395 0.663
Al: 0.158 0.395 0.837
Al: 0.158 0.763 0.163
Al: 0.158 0.763 0.337
Al: 0.160 0.000 0.114
Al: 0.160 0.000 0.386
Al: 0.160 0.160 0.614
Al: 0.160 0.160 0.886
Al: 0.237 0.395 0.163
Al: 0.237 0.395 0.337
Al: 0.237 0.842 0.663
Al: 0.237 0.842 0.837
Al: 0.246 0.493 0.000
Al: 0.246 0.493 0.500
Al: 0.246 0.754 0.000
Al: 0.246 0.754 0.500
Al: 0.255 0.000 0.531
Al: 0.255 0.000 0.969
Al: 0.255 0.255 0.031
Al: 0.255 0.255 0.469
Al: 0.333 0.667 0.125
Al: 0.333 0.667 0.375
Al: 0.333 0.667 0.625
Al: 0.333 0.667 0.875
Al: 0.395 0.158 0.663
Al: 0.395 0.158 0.837
Al: 0.395 0.237 0.163
Al: 0.395 0.237 0.337
Al: 0.405 0.552 0.750
Al: 0.405 0.853 0.250
Al: 0.448 0.595 0.250
Al: 0.448 0.853 0.750
Al: 0.493 0.246 0.000
Al: 0.493 0.246 0.500
Al: 0.507 0.754 0.000
Al: 0.507 0.754 0.500
Al: 0.552 0.147 0.250
Al: 0.552 0.405 0.750
Al: 0.595 0.147 0.750
Al: 0.595 0.448 0.250
Al: 0.605 0.763 0.663
Al: 0.605 0.763 0.837
Al: 0.605 0.842 0.163
Al: 0.605 0.842 0.337
Al: 0.667 0.333 0.125
Al: 0.667 0.333 0.375
Al: 0.667 0.333 0.625
Al: 0.667 0.333 0.875
Al: 0.745 0.000 0.031
Al: 0.745 0.000 0.469
Al: 0.745 0.745 0.531
Al: 0.745 0.745 0.969
Al: 0.754 0.246 0.000
Al: 0.754 0.246 0.500
Al: 0.754 0.507 0.000
Al: 0.754 0.507 0.500
Al: 0.763 0.158 0.163
Al: 0.763 0.158 0.337
Al: 0.763 0.605 0.663
Al: 0.763 0.605 0.837
Al: 0.840 0.000 0.614
Al: 0.840 0.000 0.886
Al: 0.840 0.840 0.114
Al: 0.840 0.840 0.386
Al: 0.842 0.237 0.663
Al: 0.842 0.237 0.837
Al: 0.842 0.605 0.163
Al: 0.842 0.605 0.337
Al: 0.852 0.000 0.250
Al: 0.852 0.852 0.750
Al: 0.853 0.405 0.250
Al: 0.853 0.448 0.750
W: 0.000 0.000 0.000
W: 0.000 0.000 0.500
W: 0.000 0.271 0.250
W: 0.000 0.729 0.750
W: 0.271 0.000 0.250
W: 0.271 0.271 0.750
W: 0.729 0.000 0.750
W: 0.729 0.729 0.250

Values from the calculation:
Its formation energy is -0.27 eV per atom. The value obtained for the calculated density is 5.2 g/cm³. Its uncorrected energy is -4.8048 eV/atom.

[11]
Compound: YPCl2O
Source: Alexandria via LeMat-Bulk
Functional: PBE-GGA
Structure: optimized geometry

Cell lengths 5.190, 5.190, 5.817 Å; angles 90.00, 90.00, 90.00 degrees
Atoms (fractional coordinates):
Y: 0.000 0.000 0.000
P: 0.000 0.000 0.500
Cl: 0.000 0.500 0.000
Cl: 0.500 0.000 0.000
O: 0.500 0.500 0.500

Values from the calculation:
As for the offset from the most stable computed form: 78 meV/atom. The value obtained for the calculated density is 2.2 g/cm³. Its uncorrected energy is -4.3976 eV/atom. The formation energy from raw total energies is -292 meV/atom.

[12]
Compound: CeGaO
Source: Alexandria via LeMat-Bulk
Functional: PBE-GGA
Structure: optimized geometry

Cell lengths 11.137, 11.137, 11.137 Å; angles 163.08, 163.08, 24.02 degrees
Atoms (fractional coordinates):
Ce: 0.178 0.178 0.000
Ce: 0.822 0.822 0.000
Ga: 0.442 0.442 0.000
Ga: 0.558 0.558 0.000
O: 0.290 0.290 0.000
O: 0.710 0.710 0.000

Values from the calculation:
As for the offset from the most stable computed form: 264 meV/atom. The value obtained for the calculated density is 6.4 g/cm³. Its uncorrected energy is -6.4235 eV/atom. The formation energy from raw total energies is -1784 meV/atom.